1.
Compound: Ac3NiIrPb
Source: the Alexandria database
Functional: PBE
Structure: relaxed

Summary:
* calculated total energy: -0.2018 hartree per atom
* M_tot: 0.000 μB/f.u.
* DFT formation energy: -0.38 eV/atom

Unit cell a=9.323 b=4.360 c=10.177 alpha=90.00 beta=114.47 gamma=90.00
Space group P2_1/m (No. 11)
Symmetry-distinct sites (fractional):
Ac (0.158, 0.250, 0.136) x2
Ac (0.263, 0.750, 0.844) x2
Ac (0.267, 0.750, 0.480) x2
Ni (0.012, 0.250, 0.447) x2
Ir (0.033, 0.250, 0.800) x2
Pb (0.483, 0.750, 0.248) x2


2.
Compound: PmTl2InO6
Source: the Alexandria database
Functional: PBE
Structure: relaxed

Summary:
* calculated total energy: -0.2108 hartree per atom
* energy relative to the elements, uncorrected: -1.5402 eV per atom
* M_tot: 0.000 μB/f.u.

Unit cell a=5.8193 b=5.8193 c=15.3757 alpha=90.00 beta=90.00 gamma=120.00
Space group R3 (No. 146, hexagonal axes)
Symmetry-distinct sites (fractional):
Pm (0.0000, 0.0000, 0.0000) x3
Tl (0.0000, 0.0000, 0.2194) x3
Tl (0.0000, 0.0000, 0.7250) x3
In (0.0000, 0.0000, 0.5086) x3
O (0.0170, 0.3120, 0.1106) x9
O (0.0497, 0.6719, 0.2734) x9


3.
Compound: Na2YTaFe
Source: the Alexandria database
Functional: PBE
Structure: relaxed

Summary:
* calculated total energy: -0.1690 hartree per atom
* M_tot: 0.001 μB/f.u.
* DFT formation energy: 1.29 eV/atom

Unit cell a=5.484 b=5.484 c=4.341 alpha=90.00 beta=90.00 gamma=90.00
Space group P4/mmm (No. 123)
Symmetry-distinct sites (fractional):
Na (0.000, 0.500, 0.000) x2
Y (0.000, 0.000, 0.500) x1
Ta (0.500, 0.500, 0.000) x1
Fe (0.500, 0.500, 0.500) x1


4.
Compound: CsCoPdCl6
Source: the Alexandria database
Functional: PBE
Structure: relaxed

Summary:
* calculated total energy: -0.1288 hartree per atom
* energy relative to the elements, uncorrected: -0.8134 eV per atom
* M_tot: 4.018 μB/f.u.

Unit cell a=6.353 b=6.357 c=7.803 alpha=91.60 beta=91.65 gamma=116.59
Space group P1 (No. 1)
Symmetry-distinct sites (fractional):
Cs (0.000, 0.000, 0.000) x1
Co (0.332, 0.672, 0.500) x1
Pd (0.676, 0.327, 0.500) x1
Cl (0.006, 0.356, 0.667) x1
Cl (0.039, 0.625, 0.310) x1
Cl (0.375, 0.963, 0.690) x1
Cl (0.389, 0.366, 0.326) x1
Cl (0.635, 0.613, 0.673) x1
Cl (0.646, 0.996, 0.334) x1